GGA-PBE CsZrAu3O4, optimized geometry; crystal system = cubic; space-group type = P-43m; total moment = 0.00 μB per formula unit; total DFT energy (no corrections) = -0.3818 Ry/atom
1.0
5.802 0.000 0.000
0.000 5.802 0.000
0.000 0.000 5.802
Cs Zr Au O
1 1 3 4
Cartesian
0.000 0.000 0.000 Cs
2.901 2.901 2.901 Zr
0.000 2.901 2.901 Au
2.901 0.000 2.901 Au
2.901 2.901 0.000 Au
1.724 1.724 1.724 O
1.724 4.078 4.078 O
4.078 1.724 4.078 O
4.078 4.078 1.724 O

---

GGA-PBE ThSnPt, optimized geometry; crystal system = cubic; space-group type = F-43m; total moment = 0.00 μB per formula unit; total DFT energy (no corrections) = -0.4449 Ry/atom
1.0
7.052 0.000 0.000
0.000 7.052 0.000
0.000 0.000 7.052
Th Sn Pt
4 4 4
Cartesian
0.000 0.000 0.000 Th
0.000 3.526 3.526 Th
3.526 0.000 3.526 Th
3.526 3.526 0.000 Th
1.763 1.763 1.763 Sn
1.763 5.289 5.289 Sn
5.289 1.763 5.289 Sn
5.289 5.289 1.763 Sn
1.763 1.763 5.289 Pt
1.763 5.289 1.763 Pt
5.289 1.763 1.763 Pt
5.289 5.289 5.289 Pt

---

GGA-PBE MgCoTcBi, optimized geometry; crystal system = cubic; excess energy over the best structure of this formula in the dataset = 0.000 eV/atom; space-group type = F-43m; total moment = 0.00 μB per formula unit; total DFT energy (no corrections) = -0.3966 Ry/atom
1.0
6.391 0.000 0.000
0.000 6.391 0.000
0.000 0.000 6.391
Mg Co Tc Bi
4 4 4 4
Cartesian
0.000 0.000 0.000 Mg
0.000 3.196 3.196 Mg
3.196 0.000 3.196 Mg
3.196 3.196 0.000 Mg
1.598 1.598 4.793 Co
1.598 4.793 1.598 Co
4.793 1.598 1.598 Co
4.793 4.793 4.793 Co
1.598 1.598 1.598 Tc
1.598 4.793 4.793 Tc
4.793 1.598 4.793 Tc
4.793 4.793 1.598 Tc
0.000 0.000 3.196 Bi
0.000 3.196 0.000 Bi
3.196 0.000 0.000 Bi
3.196 3.196 3.196 Bi

---

GGA-PBE KHoCo, optimized geometry; crystal system = cubic; excess energy over the best structure of this formula in the dataset = 0.000 eV/atom; space-group type = F-43m; total moment = 0.44 μB per formula unit; total DFT energy (no corrections) = -0.2476 Ry/atom
1.0
6.905 0.000 0.000
0.000 6.905 0.000
0.000 0.000 6.905
K Ho Co
4 4 4
Cartesian
0.000 0.000 0.000 K
0.000 3.452 3.452 K
3.452 0.000 3.452 K
3.452 3.452 0.000 K
0.000 0.000 3.452 Ho
0.000 3.452 0.000 Ho
3.452 0.000 0.000 Ho
3.452 3.452 3.452 Ho
1.726 1.726 5.178 Co
1.726 5.178 1.726 Co
5.178 1.726 1.726 Co
5.178 5.178 5.178 Co

---

GGA-PBE NaLiPa, optimized geometry; crystal system = cubic; excess energy over the best structure of this formula in the dataset = 0.321 eV/atom; space-group type = F-43m; total moment = 4.06 μB per formula unit; total DFT energy (no corrections) = -0.1886 Ry/atom
1.0
7.316 0.000 0.000
0.000 7.316 0.000
0.000 0.000 7.316
Na Li Pa
4 4 4
Cartesian
0.000 0.000 0.000 Na
0.000 3.658 3.658 Na
3.658 0.000 3.658 Na
3.658 3.658 0.000 Na
0.000 0.000 3.658 Li
0.000 3.658 0.000 Li
3.658 0.000 0.000 Li
3.658 3.658 3.658 Li
1.829 1.829 5.487 Pa
1.829 5.487 1.829 Pa
5.487 1.829 1.829 Pa
5.487 5.487 5.487 Pa

---

GGA-PBE Cu2Ag3, optimized geometry; crystal system = orthorhombic; excess energy over the best structure of this formula in the dataset = 0.039 eV/atom; space-group type = Cmcm; total DFT energy (no corrections) = -0.2286 Ry/atom; energy relative to the elements = 0.072 eV/atom
1.0
1.996 -9.768 0.000
1.996 9.768 0.000
0.000 0.000 3.987
Cu Ag
4 6
Cartesian
1.996 6.579 2.990 Cu
1.996 4.885 0.997 Cu
1.996 -4.885 2.990 Cu
1.996 -6.579 0.997 Cu
1.996 8.672 0.997 Ag
1.996 3.139 2.990 Ag
1.996 1.092 0.997 Ag
1.996 -1.092 2.990 Ag
1.996 -3.139 0.997 Ag
1.996 -8.672 2.990 Ag

---

GGA-PBE Dy2YEr2Lu2Ni2Se2, optimized geometry; crystal system = orthorhombic; space-group type = Imm2; total moment = 0.02 μB per formula unit; total DFT energy (no corrections) = -0.4080 Ry/atom
1.0
-1.890 7.489 4.634
1.890 -7.489 4.634
1.890 7.489 -4.634
Dy Y Er Lu Ni Se
2 1 2 2 2 2
Cartesian
0.000 1.881 0.000 Dy
0.000 13.098 0.000 Dy
0.000 0.000 5.431 Y
1.890 -2.121 3.210 Er
1.890 2.121 3.210 Er
0.000 4.736 1.891 Lu
0.000 10.243 1.891 Lu
1.890 3.936 0.107 Ni
0.000 3.553 4.740 Ni
0.000 0.000 2.312 Se
0.000 7.489 3.171 Se

---

GGA-PBE FeCuGeAs, optimized geometry; crystal system = cubic; excess energy over the best structure of this formula in the dataset = 0.166 eV/atom; space-group type = F-43m; total moment = 2.46 μB per formula unit; total DFT energy (no corrections) = -0.3600 Ry/atom
1.0
6.245 0.000 0.000
0.000 6.245 0.000
0.000 0.000 6.245
Fe Cu Ge As
4 4 4 4
Cartesian
0.000 0.000 0.000 Fe
0.000 3.122 3.122 Fe
3.122 0.000 3.122 Fe
3.122 3.122 0.000 Fe
1.561 1.561 4.683 Cu
1.561 4.683 1.561 Cu
4.683 1.561 1.561 Cu
4.683 4.683 4.683 Cu
0.000 0.000 3.122 Ge
0.000 3.122 0.000 Ge
3.122 0.000 0.000 Ge
3.122 3.122 3.122 Ge
1.561 1.561 1.561 As
1.561 4.683 4.683 As
4.683 1.561 4.683 As
4.683 4.683 1.561 As

---

- Which of these has the lowest total DFT energy (no corrections)?
  ThSnPt

---

- Which formula does entry 7 have?
  Dy2YEr2Lu2Ni2Se2